{
  "formula": "NbV5Ge3",
  "functional": "GGA-PBE",
  "state": "optimized geometry",
  "spacegroup": "I4/mcm, No. 140",
  "magmom_total_mub_per_cell": 0.00,
  "cell": [[6.8111, 0.0000, 0.0000], [0.0000, 6.8111, 0.0000], [-3.4055, -3.4055, 5.9263]],
  "species": ["V", "V", "Nb", "V", "V", "Ge", "V", "Ge", "V", "V", "Ge", "Ge", "V", "Ge", "V", "Ge", "Nb", "V"],
  "fractional_positions": [[0.1392, 0.0780, 0.7172], [0.8608, 0.9220, 0.2828], [0.2500, 0.7500, 0.5000], [0.5780, 0.6392, 0.7172], [0.5000, 0.5000, 0.0000], [0.8838, 0.6162, 0.0000], [0.6392, 0.1392, 0.7172], [0.1162, 0.3838, 0.0000], [0.0000, 0.0000, 0.0000], [0.0780, 0.5780, 0.7172], [0.3838, 0.8838, 0.0000], [0.2500, 0.2500, 0.5000], [0.4220, 0.3608, 0.2828], [0.6162, 0.1162, 0.0000], [0.3608, 0.8608, 0.2828], [0.7500, 0.7500, 0.5000], [0.7500, 0.2500, 0.5000], [0.9220, 0.4220, 0.2828]]
}

---

{
  "formula": "Nb2V4Ge",
  "functional": "GGA-PBE",
  "state": "optimized geometry",
  "spacegroup": "I4/mmm, No. 139",
  "magmom_total_mub_per_cell": 0.00,
  "cell": [[4.4592, 0.0000, 0.0000], [0.0000, 4.4592, 0.0000], [2.2296, 2.2296, 6.3388]],
  "species": ["V", "Nb", "Ge", "V", "V", "Nb", "V"],
  "fractional_positions": [[0.0000, 0.5000, 0.0000], [0.3754, 0.3754, 0.2493], [0.0000, 0.0000, 0.0000], [0.5000, 0.0000, 0.0000], [0.8098, 0.8098, 0.3803], [0.6246, 0.6246, 0.7507], [0.1902, 0.1902, 0.6197]]
}

---

{
  "formula": "NbV2Ge4",
  "functional": "GGA-PBE",
  "state": "optimized geometry",
  "spacegroup": "I4/mmm, No. 139",
  "magmom_total_mub_per_cell": 0.00,
  "cell": [[-2.6416, 3.6699, 1.8761], [-1.5122, -2.9359, 3.6138], [2.7924, 2.1075, 6.1965]],
  "species": ["V", "Ge", "Ge", "Ge", "V", "Ge", "Nb"],
  "fractional_positions": [[0.4150, 0.4150, 0.1699], [0.0000, 0.5000, 0.0000], [0.2066, 0.2066, 0.5868], [0.7934, 0.7934, 0.4132], [0.5850, 0.5850, 0.8301], [0.5000, 0.0000, 0.0000], [0.0000, 0.0000, 0.0000]]
}

---

Number 1: energy of formation 0.2024 eV/atom. Number 2: energy of formation 0.9462 eV/atom. Number 3: energy of formation 0.4694 eV/atom.